CaAcPrGd | PBE-GGA | relaxed

Cell: 6.0100 6.0100 6.0100 Å, 60.00 60.00 60.00°
Sites, in units of the cell vectors:
Pr 0.5000 0.5000 0.5000
Ac 0.0000 0.0000 0.0000
Gd 0.7500 0.7500 0.7500
Ca 0.2500 0.2500 0.2500

Output
- DOS at the Fermi energy: 7.31 states/eV/cell
- Theoretical density: 6.115 Mg/m³
- Energy of formation: 0.097 eV per atom